(1)
Entry from Alexandria via LeMat-Bulk: a relaxed YSbOF2 crystal (PBE-GGA).

Values from the calculation:
DOS(E_F) = 1.21 states/eV/cell
crystal system = tetragonal
energy = -5.844 eV/atom

Unit cell a=4.131 b=6.538 c=4.131 alpha=90.00 beta=90.00 gamma=90.00
Positions (direct):
Sb 0.000 0.500 0.000
F 0.000 0.000 0.500
F 0.500 0.000 0.000
O 0.500 0.500 0.500
Y 0.000 0.000 0.000


(2)
Entry from Alexandria via LeMat-Bulk: a relaxed YSbOF2 crystal (PBE-GGA).

Values from the calculation:
DOS(E_F) = 3.67 states/eV/cell
crystal system = tetragonal
energy = -5.217 eV/atom

Unit cell a=4.665 b=4.665 c=4.264 alpha=90.00 beta=90.00 gamma=90.00
Each line ends with the local moment (μB).
Positions (direct):
Sb 0.000 0.000 0.000  0.01
F 0.000 0.500 0.000  0.01
Y 0.500 0.500 0.500  0.19
O 0.000 0.000 0.500  0.00
F 0.500 0.000 0.000  0.01


(3)
Entry from Alexandria via LeMat-Bulk: a relaxed YSbOF2 crystal (PBE-GGA).

Values from the calculation:
DOS(E_F) = 2.50 states/eV/cell
crystal system = tetragonal
energy = -6.146 eV/atom

Unit cell a=4.390 b=4.390 c=4.592 alpha=90.00 beta=90.00 gamma=90.00
Each line ends with the local moment (μB).
Positions (direct):
Y 0.000 0.000 0.000  0.00
F 0.500 0.000 0.000  0.04
F 0.000 0.500 0.000  0.04
O 0.000 0.000 0.500  -0.02
Sb 0.500 0.500 0.500  0.34


(4)
Entry from Alexandria via LeMat-Bulk: a relaxed YSbO2F crystal (PBE-GGA).

Values from the calculation:
DOS(E_F) = 1.87 states/eV/cell
crystal system = tetragonal
energy = -6.433 eV/atom

Unit cell a=4.449 b=4.449 c=4.274 alpha=90.00 beta=90.00 gamma=90.00
Positions (direct):
Sb 0.500 0.500 0.500
Y 0.000 0.000 0.000
O 0.500 0.000 0.000
O 0.000 0.500 0.000
F 0.000 0.000 0.500


(5)
Entry from Alexandria via LeMat-Bulk: a relaxed YSbO2F crystal (PBE-GGA).

Values from the calculation:
DOS(E_F) = 2.30 states/eV/cell
crystal system = tetragonal
energy = -5.877 eV/atom

Unit cell a=4.343 b=4.343 c=4.451 alpha=90.00 beta=90.00 gamma=90.00
Each line ends with the local moment (μB).
Positions (direct):
O 0.000 0.500 0.000  0.01
Y 0.500 0.500 0.500  0.40
Sb 0.000 0.000 0.000  0.01
O 0.500 0.000 0.000  0.01
F 0.000 0.000 0.500  0.02


(6)
Entry from Alexandria via LeMat-Bulk: a relaxed ZnSbO2F crystal (PBE-GGA).

Values from the calculation:
DOS(E_F) = 0.58 states/eV/cell
crystal system = tetragonal
energy = -4.433 eV/atom

Unit cell a=4.041 b=4.041 c=3.846 alpha=90.00 beta=90.00 gamma=90.00
Positions (direct):
Sb 0.500 0.500 0.500
O 0.000 0.500 0.000
F 0.000 0.000 0.500
Zn 0.000 0.000 0.000
O 0.500 0.000 0.000